Record 1
# TmTiCd2 | Alexandria via LeMat-Bulk | PBE | optimized geometry
data_TmTiCd2
_chemical_formula_sum 'Tm1 Ti1 Cd2'
_space_group_name_H-M_alt 'P 1'
_space_group_IT_number 1
_space_group_name_Hall 'P 1'
_cell_length_a 3.543
_cell_length_b 3.543
_cell_length_c 7.010
_cell_angle_alpha 90.00
_cell_angle_beta 90.00
_cell_angle_gamma 90.00
loop_
_atom_site_label
_atom_site_fract_x
_atom_site_fract_y
_atom_site_fract_z
Tm1 0.000 0.000 0.000
Ti1 0.000 0.000 0.500
Cd1 0.500 0.500 0.276
Cd2 0.500 0.500 0.724
# Space group ... No. 123
# E_tot ... -14.5 eV per cell
# Energy relative to the elements ... -0.070 eV per atom
# Calculated volume ... 21.99 A^3/atom
# Energy above the most stable polymorph in this dataset ... 0.000 eV/atom
# Theoretical density ... 8.3 g/cm³

Record 2
# HgOs4Br | Alexandria via LeMat-Bulk | PBE | optimized geometry
data_HgOs4Br
_chemical_formula_sum 'Hg1 Os4 Br1'
_space_group_name_H-M_alt 'P 1'
_space_group_IT_number 1
_space_group_name_Hall 'P 1'
_cell_length_a 5.319
_cell_length_b 5.319
_cell_length_c 5.319
_cell_angle_alpha 60.00
_cell_angle_beta 60.00
_cell_angle_gamma 60.00
loop_
_atom_site_label
_atom_site_fract_x
_atom_site_fract_y
_atom_site_fract_z
Hg1 0.000 0.000 0.000
Os1 0.125 0.625 0.625
Os2 0.625 0.125 0.625
Os3 0.625 0.625 0.125
Os4 0.625 0.625 0.625
Br1 0.250 0.250 0.250
# Space group ... No. 216
# E_tot ... -37.9 eV per cell
# Formation energy from raw total energies ... 1.498 eV per atom
# Calculated volume ... 17.74 A^3/atom
# Theoretical density ... 16.2 g/cm³

Record 3
# K3Tm3NpTe8 | Alexandria via LeMat-Bulk | PBE | optimized geometry
data_K3Tm3NpTe8
_chemical_formula_sum 'K3 Tm3 Np1 Te8'
_space_group_name_H-M_alt 'P 1'
_space_group_IT_number 1
_space_group_name_Hall 'P 1'
_cell_length_a 9.797
_cell_length_b 9.797
_cell_length_c 9.797
_cell_angle_alpha 53.55
_cell_angle_beta 53.55
_cell_angle_gamma 53.55
loop_
_atom_site_label
_atom_site_fract_x
_atom_site_fract_y
_atom_site_fract_z
K1 0.000 0.500 0.500
K2 0.500 0.000 0.500
K3 0.500 0.500 0.000
Tm1 0.000 0.000 0.500
Tm2 0.000 0.500 0.000
Tm3 0.500 0.000 0.000
Np1 0.500 0.500 0.500
Te1 0.232 0.736 0.736
Te2 0.235 0.235 0.235
Te3 0.264 0.264 0.768
Te4 0.264 0.768 0.264
Te5 0.736 0.232 0.736
Te6 0.736 0.736 0.232
Te7 0.765 0.765 0.765
Te8 0.768 0.264 0.264
# Space group ... No. 166
# E_tot ... -72.9 eV per cell
# Formation energy from raw total energies ... -1.211 eV per atom
# Calculated volume ... 37.64 A^3/atom
# Theoretical density ... 5.5 g/cm³